a:
MnRuW2 PBE relaxed; DOS at the Fermi energy = 1.09 states/eV per atom
1.0
-1.8548 1.8548 9.4180
1.8548 -1.8548 9.4180
1.8548 1.8548 -9.4180
Mn Ru W
2 2 4
direct
0.0000 0.0000 0.0000
0.7500 0.2500 0.5000
0.2500 0.7500 0.5000
0.5000 0.5000 0.0000
0.1176 0.6250 0.9926
0.3750 0.3676 0.4926
0.6324 0.1250 0.0074
0.8750 0.8824 0.5074

---

b:
MnRuW2 PBE relaxed; DOS at the Fermi energy = 0.81 states/eV per atom
1.0
-1.5737 2.1664 4.3351
1.5737 -2.1664 4.3351
1.5737 2.1664 -4.3351
Mn Ru W
1 1 2
direct
0.0000 0.0000 0.0000
0.5000 0.5000 0.0000
0.2477 0.7477 0.5000
0.7523 0.2523 0.5000

---

Least stable = a

---

a:
MnRuW2 PBE relaxed; DOS at the Fermi energy = 1.09 states/eV per atom
1.0
-1.5552 2.1879 4.3363
1.5552 -2.1879 4.3363
1.5552 2.1879 -4.3363
Mn Ru W
1 1 2
direct
0.0000 0.0000 0.0000
0.7417 0.2417 0.5000
0.2384 0.7384 0.5000
0.4859 0.4859 0.0000

---

b:
MnRuW2 PBE relaxed; DOS at the Fermi energy = 1.09 states/eV per atom
1.0
2.7473 0.0000 0.0000
0.0000 4.4004 0.0000
-0.5345 0.0000 4.8312
Mn Ru W
1 1 2
direct
0.0000 0.0000 0.0000
0.9435 0.5000 0.3067
0.3514 0.5000 0.8146
0.5742 0.0000 0.5118

---

Least stable = a

---

a:
MnRuW2 PBE relaxed; DOS at the Fermi energy = 0.97 states/eV per atom
1.0
2.7251 0.0000 0.0000
0.0000 4.2017 0.0000
-1.2157 0.0000 5.1368
Mn Ru W
1 1 2
direct
0.0000 0.0000 0.0000
0.5000 0.0000 0.5000
0.2378 0.5000 0.7557
0.7622 0.5000 0.2443

---

b:
MnRuW2 PBE relaxed; DOS at the Fermi energy = 0.74 states/eV per atom
1.0
2.7019 0.0000 0.0000
0.0000 2.7019 0.0000
0.0000 0.0000 7.9154
Mn Ru W
1 1 2
direct
0.0000 0.0000 0.0000
0.5000 0.5000 0.2025
0.0000 0.0000 0.4698
0.5000 0.5000 0.7559

---

Least stable = b